*i*
AlP2ICl, optimized geometry, DFT GGA-PBE; crystal system = tetragonal; spin magnetization = 0.00 Bohr magnetons per cell
1.0
4.866 0.000 0.000
0.000 4.866 0.000
0.000 0.000 4.606
Al P I Cl
1 2 1 1
Cartesian
0.000 0.000 0.000
0.000 2.433 0.000
2.433 0.000 0.000
2.433 2.433 2.303
0.000 0.000 2.303

***

*ii*
AlP2ICl, optimized geometry, DFT GGA-PBE; crystal system = tetragonal; spin magnetization = 0.00 Bohr magnetons per cell
1.0
5.204 0.000 0.000
0.000 5.204 0.000
0.000 0.000 5.450
Al P I Cl
1 2 1 1
Cartesian
0.000 0.000 0.000
0.000 2.602 2.725
2.602 0.000 2.725
2.602 2.602 2.725
2.602 2.602 0.000

***

*i* has the most favorable energy; the next structure is 81.2 kJ/mol of atoms above.

***

*i*
AlSICl2, optimized geometry, DFT GGA-PBE; crystal system = tetragonal; spin magnetization = 0.00 Bohr magnetons per cell
1.0
4.557 0.000 0.000
0.000 4.557 0.000
0.000 0.000 5.426
Al S I Cl
1 1 1 2
Cartesian
0.000 0.000 0.000
0.000 0.000 2.713
2.279 2.279 2.713
0.000 2.279 0.000
2.279 0.000 0.000

***

*ii*
AlSICl2, optimized geometry, DFT GGA-PBE; crystal system = tetragonal; spin magnetization = 0.00 Bohr magnetons per cell
1.0
5.553 0.000 0.000
0.000 5.553 0.000
0.000 0.000 5.178
Al S I Cl
1 1 1 2
Cartesian
0.000 0.000 0.000
2.776 2.776 0.000
2.776 2.776 2.589
0.000 2.776 2.589
2.776 0.000 2.589

***

*i* has the most favorable energy; the next structure is 69.6 kJ/mol of atoms above.

***

*i*
AlS2ICl, optimized geometry, DFT GGA-PBE; crystal system = tetragonal; spin magnetization = 0.00 Bohr magnetons per cell
1.0
5.150 0.000 0.000
0.000 5.150 0.000
0.000 0.000 5.490
Al S I Cl
1 2 1 1
Cartesian
0.000 0.000 0.000
0.000 2.575 2.745
2.575 0.000 2.745
2.575 2.575 2.745
2.575 2.575 0.000

***

*ii*
AlS2ICl, optimized geometry, DFT GGA-PBE; crystal system = tetragonal; spin magnetization = 0.00 Bohr magnetons per cell
1.0
4.833 0.000 0.000
0.000 4.833 0.000
0.000 0.000 4.565
Al S I Cl
1 2 1 1
Cartesian
0.000 0.000 0.000
0.000 2.417 0.000
2.417 0.000 0.000
2.417 2.417 2.282
0.000 0.000 2.282

***

*ii* has the most favorable energy; the next structure is 65.0 kJ/mol of atoms above.

***

*i*
AlTe2ICl, optimized geometry, DFT GGA-PBE; crystal system = tetragonal; spin magnetization = 0.00 Bohr magnetons per cell
1.0
5.368 0.000 0.000
0.000 5.368 0.000
0.000 0.000 5.424
Al Te I Cl
1 2 1 1
Cartesian
0.000 0.000 0.000
0.000 2.684 0.000
2.684 0.000 0.000
0.000 0.000 2.712
2.684 2.684 2.712

***

*ii*
AlTe2ICl, optimized geometry, DFT GGA-PBE; crystal system = tetragonal; spin magnetization = 1.50 Bohr magnetons per cell
1.0
5.232 0.000 0.000
0.000 5.232 0.000
0.000 0.000 7.448
Al Te I Cl
1 2 1 1
Cartesian
0.000 0.000 0.000
0.000 2.616 3.724
2.616 0.000 3.724
2.616 2.616 0.000
2.616 2.616 3.724

***

*i* has the most favorable energy; the next structure is 39.1 kJ/mol of atoms above.

***

*i*
AlInCl2, optimized geometry, DFT GGA-PBE; crystal system = cubic; spin magnetization = 0.00 Bohr magnetons per cell
1.0
0.000 3.662 3.662
3.662 0.000 3.662
3.662 3.662 0.000
Al In Cl
1 1 2
Cartesian
0.000 0.000 0.000
1.831 1.831 1.831
3.662 3.662 3.662
5.492 5.492 5.492

***

*ii*
AlInCl2, optimized geometry, DFT GGA-PBE; crystal system = orthorhombic; spin magnetization = 0.00 Bohr magnetons per cell
1.0
1.707 -3.074 0.000
1.707 3.074 0.000
0.000 0.000 9.175
Al In Cl
1 1 2
Cartesian
0.000 0.000 0.000
0.000 0.000 4.587
1.707 0.000 1.931
1.707 0.000 7.244

***

*ii* has the most favorable energy; the next structure is 18.2 kJ/mol of atoms above.

***

*i*
AlInCl2, optimized geometry, DFT GGA-PBE; crystal system = tetragonal; spin magnetization = 0.00 Bohr magnetons per cell
1.0
4.051 0.000 0.000
0.000 4.051 0.000
0.000 0.000 6.653
Al In Cl
1 1 2
Cartesian
0.000 0.000 0.000
2.026 2.026 3.966
0.000 0.000 2.349
2.026 2.026 0.419

***

*ii*
AlInCl2, optimized geometry, DFT GGA-PBE; crystal system = tetragonal; spin magnetization = 0.00 Bohr magnetons per cell
1.0
3.563 0.000 0.000
0.000 3.563 0.000
0.000 0.000 8.720
Al In Cl
1 1 2
Cartesian
0.000 0.000 0.000
1.782 1.782 6.059
0.000 0.000 4.535
1.782 1.782 1.224

***

*i* has the most favorable energy; the next structure is 5.8 kJ/mol of atoms above.

***

*i*
AlInCl2, optimized geometry, DFT GGA-PBE; crystal system = orthorhombic; spin magnetization = 0.00 Bohr magnetons per cell
1.0
-1.703 2.483 7.013
1.703 -2.483 7.013
1.703 2.483 -7.013
Al In Cl
1 1 2
Cartesian
0.000 0.000 0.000
0.000 2.483 4.494
1.703 0.000 1.726
0.000 0.000 6.277

***

*ii*
AlInCl2, optimized geometry, DFT GGA-PBE; crystal system = cubic; spin magnetization = 0.00 Bohr magnetons per cell
1.0
0.000 3.747 3.747
3.747 0.000 3.747
3.747 3.747 0.000
Al In Cl
1 1 2
Cartesian
0.000 0.000 0.000
3.747 3.747 3.747
1.873 1.873 1.873
5.620 5.620 5.620

***

*iii*
AlInCl2, optimized geometry, DFT GGA-PBE; crystal system = tetragonal; spin magnetization = 0.00 Bohr magnetons per cell
1.0
-2.132 2.132 6.033
2.132 -2.132 6.033
2.132 2.132 -6.033
Al In Cl
1 1 2
Cartesian
0.000 0.000 0.000
0.000 2.132 3.017
2.132 0.000 3.017
0.000 0.000 6.033

***

*i* has the most favorable energy; the next structure is 9.9 kJ/mol of atoms above.

***

*i*
AlInCl3, optimized geometry, DFT GGA-PBE; crystal system = monoclinic; spin magnetization = 0.00 Bohr magnetons per cell
1.0
7.711 -2.613 0.000
7.711 2.613 0.000
-2.400 0.000 7.863
Al In Cl
2 2 6
Cartesian
-0.080 0.000 1.288
13.102 0.000 6.574
2.827 0.000 7.548
10.195 0.000 0.315
-0.315 0.000 5.703
1.886 0.000 2.298
5.395 0.000 6.173
7.628 0.000 1.689
11.136 0.000 5.565
13.337 0.000 2.160

***

*ii*
AlInCl3, optimized geometry, DFT GGA-PBE; crystal system = cubic; spin magnetization = 0.00 Bohr magnetons per cell
1.0
5.386 0.000 0.000
0.000 5.386 0.000
0.000 0.000 5.386
Al In Cl
1 1 3
Cartesian
0.000 0.000 0.000
2.693 2.693 2.693
0.000 2.693 2.693
2.693 0.000 2.693
2.693 2.693 0.000

***

*iii*
AlInCl3, optimized geometry, DFT GGA-PBE; crystal system = cubic; spin magnetization = 0.00 Bohr magnetons per cell
1.0
5.072 0.000 0.000
0.000 5.072 0.000
0.000 0.000 5.072
Al In Cl
1 1 3
Cartesian
0.000 0.000 0.000
2.536 2.536 2.536
0.000 0.000 2.536
0.000 2.536 0.000
2.536 0.000 0.000

***

*i* has the most favorable energy; the next structure is 12.5 kJ/mol of atoms above.

***

*i*
Al3InCl, optimized geometry, DFT GGA-PBE; crystal system = cubic; spin magnetization = 0.00 Bohr magnetons per cell
1.0
5.022 0.000 0.000
0.000 5.022 0.000
0.000 0.000 5.022
Al In Cl
3 1 1
Cartesian
0.000 0.000 2.511
0.000 2.511 0.000
2.511 0.000 0.000
2.511 2.511 2.511
0.000 0.000 0.000

***

*ii*
Al3InCl, optimized geometry, DFT GGA-PBE; crystal system = cubic; spin magnetization = 0.00 Bohr magnetons per cell
1.0
5.378 0.000 0.000
0.000 5.378 0.000
0.000 0.000 5.378
Al In Cl
3 1 1
Cartesian
0.000 0.000 2.689
0.000 2.689 0.000
2.689 0.000 0.000
0.000 0.000 0.000
2.689 2.689 2.689

***

*i* has the most favorable energy; the next structure is 2.7 kJ/mol of atoms above.

***

*i*
Al2InCl2, optimized geometry, DFT GGA-PBE; crystal system = tetragonal; spin magnetization = 0.00 Bohr magnetons per cell
1.0
7.924 0.000 0.000
0.000 7.924 0.000
0.000 0.000 4.583
Al In Cl
4 2 4
Cartesian
1.962 2.000 0.000
2.000 5.962 0.000
5.923 1.962 0.000
5.962 5.923 0.000
0.000 0.000 0.000
3.962 3.962 0.000
1.278 5.240 2.292
2.683 1.278 2.292
5.240 6.645 2.292
6.645 2.683 2.292

***

*ii*
Al2InCl2, optimized geometry, DFT GGA-PBE; crystal system = tetragonal; spin magnetization = 0.00 Bohr magnetons per cell
1.0
-2.196 2.196 6.566
2.196 -2.196 6.566
2.196 2.196 -6.566
Al In Cl
2 1 2
Cartesian
0.000 0.000 1.605
0.000 0.000 11.528
0.000 0.000 6.566
2.196 0.000 3.283
0.000 2.196 3.283

***

*i* has the most favorable energy; the next structure is 11.8 kJ/mol of atoms above.

***

*i*
AlIn3Cl, optimized geometry, DFT GGA-PBE; crystal system = cubic; spin magnetization = 0.00 Bohr magnetons per cell
1.0
5.617 0.000 0.000
0.000 5.617 0.000
0.000 0.000 5.617
Al In Cl
1 3 1
Cartesian
0.000 0.000 0.000
0.000 2.809 2.809
2.809 0.000 2.809
2.809 2.809 0.000
2.809 2.809 2.809

***

*ii*
AlIn3Cl, optimized geometry, DFT GGA-PBE; crystal system = cubic; spin magnetization = 0.00 Bohr magnetons per cell
1.0
5.432 0.000 0.000
0.000 5.432 0.000
0.000 0.000 5.432
Al In Cl
1 3 1
Cartesian
0.000 0.000 0.000
0.000 0.000 2.716
0.000 2.716 0.000
2.716 0.000 0.000
2.716 2.716 2.716

***

*ii* has the most favorable energy; the next structure is 30.9 kJ/mol of atoms above.

***

*i*
AlIr3Cl, optimized geometry, DFT GGA-PBE; crystal system = cubic; spin magnetization = 0.00 Bohr magnetons per cell
1.0
4.431 0.000 0.000
0.000 4.431 0.000
0.000 0.000 4.431
Al Ir Cl
1 3 1
Cartesian
0.000 0.000 0.000
0.000 2.216 2.216
2.216 0.000 2.216
2.216 2.216 0.000
2.216 2.216 2.216

***

*ii*
AlIr3Cl, optimized geometry, DFT GGA-PBE; crystal system = cubic; spin magnetization = 3.46 Bohr magnetons per cell
1.0
4.604 0.000 0.000
0.000 4.604 0.000
0.000 0.000 4.604
Al Ir Cl
1 3 1
Cartesian
0.000 0.000 0.000
0.000 0.000 2.302
0.000 2.302 0.000
2.302 0.000 0.000
2.302 2.302 2.302

***

*i* has the most favorable energy; the next structure is 11.8 kJ/mol of atoms above.

***

*i*
KAlCl2, optimized geometry, DFT GGA-PBE; crystal system = cubic; spin magnetization = 0.00 Bohr magnetons per cell
1.0
0.000 3.798 3.798
3.798 0.000 3.798
3.798 3.798 0.000
K Al Cl
1 1 2
Cartesian
0.000 0.000 0.000
1.899 1.899 1.899
3.798 3.798 3.798
5.697 5.697 5.697

***

*ii*
KAlCl2, optimized geometry, DFT GGA-PBE; crystal system = monoclinic; spin magnetization = 0.00 Bohr magnetons per cell
1.0
6.033 -2.065 0.000
6.033 2.065 0.000
-0.130 0.000 4.774
K Al Cl
1 1 2
Cartesian
0.000 0.000 0.000
9.228 0.000 2.351
3.176 0.000 0.566
6.837 0.000 2.412

***

*ii* has the most favorable energy; the next structure is 51.3 kJ/mol of atoms above.